Entry 1:
! SrFeCu2, relaxed, DFT PBE; values from VASP
! - Energy of formation: 56.96 kJ per mole of atoms
! - Total magnetic moment: 2.480 μB per formula unit
! - ρ: 6.204 g/cm3
! - Fermi-level density of states: 0.9264 states/eV/atom
! - DFT total energy: -15.98 eV/cell
! - SG: I-4m2
&SYSTEM
  ibrav = 0, nat = 4, ntyp = 3
/
ATOMIC_SPECIES
Cu 63.55 Cu.upf
Fe 55.84 Fe.upf
Sr 87.62 Sr.upf
CELL_PARAMETERS angstrom
-3.647 -0.864 -3.674
-4.427 -2.103 1.878
2.973 4.114 1.335
ATOMIC_POSITIONS angstrom
Cu 0.000 0.000 0.000
Fe -4.037 -1.484 -0.898
Cu -2.745 0.264 1.158
Sr -2.356 0.883 -1.618

Entry 2:
! Ba6MgNb2IrCl2O12, relaxed, DFT PBE; values from VASP
! - Formation energy without anion corrections: -2.363 eV/atom
! - Total magnetic moment: 0.970 μB per formula unit
! - ρ: 5.083 g/cm3
! - Fermi-level density of states: 0.0907 states/eV/atom
! - Offset from the most stable computed form: 58 meV per atom
! - DFT total energy: -162.03 eV/cell
! - SG: Cm
&SYSTEM
  ibrav = 0, nat = 24, ntyp = 6
/
ATOMIC_SPECIES
Ba 137.33 Ba.upf
O 16.00 O.upf
Mg 24.30 Mg.upf
Ir 192.22 Ir.upf
Cl 35.45 Cl.upf
Nb 92.91 Nb.upf
CELL_PARAMETERS angstrom
2.959 5.203 -0.026
-2.959 5.203 -0.026
0.000 1.612 15.792
ATOMIC_POSITIONS angstrom
Ba 0.000 4.607 5.988
O 0.000 2.633 3.111
O 1.611 5.729 14.462
Mg 0.000 4.746 2.733
Ba 0.000 8.129 10.112
O -1.611 5.729 14.462
O 0.000 8.974 1.619
Ba 0.000 8.081 14.477
O 1.392 5.773 1.219
Ba 0.000 4.688 12.390
Ir 0.000 10.187 -0.003
O 0.000 9.780 12.124
Cl 0.000 7.907 6.868
Ba 0.000 7.821 3.716
Nb 0.000 0.585 2.664
Nb 0.000 11.574 12.831
O 1.451 5.301 4.003
O -1.488 7.099 11.893
O 0.000 2.822 14.250
Ba 0.000 2.976 0.408
O -1.451 5.301 4.003
O 1.488 7.099 11.893
O -1.392 5.773 1.219
Cl 0.000 4.545 9.219

Entry 3:
! Ca2LaAg2Sn2, relaxed, DFT PBE; values from VASP
! - Energy of formation: -49.11 kJ per mole of atoms
! - Total magnetic moment: 0.000 μB per formula unit
! - ρ: 5.746 g/cm3
! - Fermi-level density of states: 0.4547 states/eV/atom
! - DFT total energy: -26.20 eV/cell
! - SG: R-3m
&SYSTEM
  ibrav = 0, nat = 7, ntyp = 4
/
ATOMIC_SPECIES
Sn 118.71 Sn.upf
Ag 107.87 Ag.upf
Ca 40.08 Ca.upf
La 138.91 La.upf
CELL_PARAMETERS angstrom
4.882 0.000 0.000
2.441 4.228 0.000
2.441 1.409 9.410
ATOMIC_POSITIONS angstrom
Sn 7.324 4.228 7.300
Ag 4.882 2.819 2.026
Ag 4.882 2.819 7.384
Ca 7.324 4.228 3.652
Ca 2.441 1.409 5.758
Sn 2.441 1.409 2.110
La 0.000 0.000 0.000

Entry 4:
! KLi2CrBi, relaxed, DFT PBE; values from VASP
! - Energy of formation: 23.06 kJ per mole of atoms
! - Total magnetic moment: 3.924 μB per formula unit
! - ρ: 3.378 g/cm3
! - Fermi-level density of states: 0.2070 states/eV/atom
! - DFT total energy: -17.23 eV/cell
! - SG: P4/mmm
&SYSTEM
  ibrav = 0, nat = 5, ntyp = 4
/
ATOMIC_SPECIES
Cr 52.00 Cr.upf
Bi 208.98 Bi.upf
Li 6.94 Li.upf
K 39.10 K.upf
CELL_PARAMETERS angstrom
5.436 0.000 0.000
0.000 5.223 0.000
0.000 0.000 5.436
ATOMIC_POSITIONS angstrom
Cr 0.000 0.000 0.000
Bi 0.000 2.611 0.000
Li 2.718 0.000 0.000
K 2.718 2.611 2.718
Li 0.000 0.000 2.718